Record 1
The following is a PBE calculation of a relaxed ZrTl2ZnNi crystal, from the Alexandria database.

extended XYZ file:
```
5
Lattice="5.055 0.000 0.000 0.000 5.055 0.000 0.000 0.000 4.449" Properties=species:S:1:pos:R:3 pbc="T T T"
Zr 0.000 0.000 0.000
Tl 0.000 2.527 2.225
Tl 2.527 0.000 2.225
Zn 2.527 2.527 2.225
Ni 2.527 2.527 0.000
```

Computed properties:
Total magnetization ... 0.0 Bohr magnetons per cell
Space group ... P4/mmm
ΔE_f ... 665 meV per atom

***

Record 2
The following is a PBE calculation of a relaxed ZrTl2Ni2 crystal, from the Alexandria database.

extended XYZ file:
```
10
Lattice="6.681 0.000 0.000 0.000 6.681 0.000 0.000 0.000 4.200" Properties=species:S:1:pos:R:3 pbc="T T T"
Zr 0.000 0.000 0.000
Zr 3.341 3.341 0.000
Tl 1.200 2.141 2.100
Tl 2.141 5.482 2.100
Tl 4.540 1.200 2.100
Tl 5.482 4.540 2.100
Ni 0.828 4.169 0.000
Ni 2.513 0.828 0.000
Ni 4.169 5.853 0.000
Ni 5.853 2.513 0.000
```

Computed properties:
Total magnetization ... 0.0 Bohr magnetons per cell
Space group ... P4/mbm
ΔE_f ... 99 meV per atom

***

Record 3
The following is a PBE calculation of a relaxed ZrTlNi crystal, from the Alexandria database.

extended XYZ file:
```
3
Lattice="4.543 0.000 0.000 -2.272 3.935 0.000 0.000 0.000 3.166" Properties=species:S:1:pos:R:3 pbc="T T T"
Zr 0.000 0.000 0.000
Tl 0.000 2.623 1.582
Ni 2.272 1.312 1.591
```

Computed properties:
Total magnetization ... 0.0 Bohr magnetons per cell
Space group ... P3m1
ΔE_f ... -47 meV per atom
Distance to the lowest polymorph of the same formula ... 173 meV per atom

***

Record 4
The following is a PBE calculation of a relaxed ZrTlNi crystal, from the Alexandria database.

extended XYZ file:
```
3
Lattice="-1.594 1.594 5.615 1.594 -1.594 5.615 1.594 1.594 -5.615" Properties=species:S:1:pos:R:3 pbc="T T T"
Zr 0.000 0.000 0.000
Tl 0.000 0.000 7.942
Ni 0.000 0.000 4.103
```

Computed properties:
Total magnetization ... 0.0 Bohr magnetons per cell
Space group ... I4mm
ΔE_f ... -64 meV per atom
Distance to the lowest polymorph of the same formula ... 157 meV per atom

***

Record 5
The following is a PBE calculation of a relaxed ZrTlNi crystal, from the Alexandria database.

extended XYZ file:
```
18
Lattice="12.938 0.000 0.000 0.000 3.483 0.000 0.000 0.000 7.495" Properties=species:S:1:pos:R:3 pbc="T T T"
Zr 0.644 0.000 1.544
Zr 3.235 0.000 6.249
Zr 5.825 0.000 1.544
Zr 7.113 0.000 5.951
Zr 9.704 0.000 1.246
Zr 12.294 0.000 5.951
Tl 1.452 1.742 4.278
Tl 3.235 1.742 1.258
Tl 5.017 1.742 4.278
Tl 7.921 1.742 3.217
Tl 9.704 1.742 6.237
Tl 11.486 1.742 3.217
Ni 1.145 1.742 7.003
Ni 3.235 0.000 3.287
Ni 5.324 1.742 7.003
Ni 7.614 1.742 0.492
Ni 9.704 0.000 4.208
Ni 11.793 1.742 0.492
```

Computed properties:
Total magnetization ... 0.0 Bohr magnetons per cell
Space group ... Pmma
ΔE_f ... -220 meV per atom
Distance to the lowest polymorph of the same formula ... 0 meV per atom

***

Record 6
The following is a PBE calculation of a relaxed ZrTlNi crystal, from the Alexandria database.

extended XYZ file:
```
3
Lattice="0.000 3.124 3.124 3.124 0.000 3.124 3.124 3.124 0.000" Properties=species:S:1:pos:R:3 pbc="T T T"
Zr 0.000 0.000 0.000
Tl 3.124 3.124 3.124
Ni 1.562 1.562 1.562
```

Computed properties:
Total magnetization ... 0.0 Bohr magnetons per cell
Space group ... F-43m
ΔE_f ... -110 meV per atom
Distance to the lowest polymorph of the same formula ... 111 meV per atom

***

Record 7
The following is a PBE calculation of a relaxed Zr6Tl3Ni crystal, from the Alexandria database.

extended XYZ file:
```
10
Lattice="5.175 -3.052 0.000 5.175 3.052 0.000 -2.132 0.000 7.321" Properties=species:S:1:pos:R:3 pbc="T T T"
Zr 2.425 1.552 4.887
Zr -0.558 0.000 6.654
Zr 5.793 1.552 2.434
Zr 2.425 -1.552 4.887
Zr 8.776 0.000 0.667
Zr 5.793 -1.552 2.434
Tl 3.129 0.000 2.153
Tl 5.175 0.000 0.000
Tl 5.089 0.000 5.167
Ni -1.066 0.000 3.660
```

Computed properties:
Total magnetization ... 0.0 Bohr magnetons per cell
Space group ... C2/m
ΔE_f ... 135 meV per atom

***

Record 8
The following is a PBE calculation of a relaxed Tm4Ni crystal, from the Alexandria database.

extended XYZ file:
```
10
Lattice="-4.172 4.172 3.866 4.172 -4.172 3.866 4.172 4.172 -3.866" Properties=species:S:1:pos:R:3 pbc="T T T"
Tm 2.485 -0.276 0.679
Tm 5.860 0.276 0.679
Tm 3.896 2.485 -1.254
Tm 4.448 -1.687 3.187
Tm 0.276 1.687 2.612
Tm 3.896 1.687 3.187
Tm 1.687 -0.276 5.121
Tm 2.485 4.448 1.254
Ni 0.000 0.000 0.000
Ni 0.000 4.172 1.933
```

Computed properties:
Total magnetization ... 0.4 Bohr magnetons per cell
Space group ... I-42d
ΔE_f ... -141 meV per atom
Distance to the lowest polymorph of the same formula ... 27 meV per atom